No. 1
The following is a GGA-PBE calculation of a relaxed structure of SbN2OF, from the Alexandria database.

Computed properties:
* symmetry: P4/mmm
* total energy: -0.337 Ry/atom
* ΔE_f (raw): 0.93 eV/atom

a = 4.225 Å, b = 4.225 Å, c = 3.827 Å
α = 90.00°, β = 90.00°, γ = 90.00°
Each line ends with the local moment (μB).
Positions (direct):
1 Sb 0.000 0.000 0.000  -0.05
2 N 0.000 0.500 0.000  1.18
3 N 0.500 0.000 0.000  1.18
4 O 0.000 0.000 0.500  0.14
5 F 0.500 0.500 0.500  0.48

No. 2
The following is a GGA-PBE calculation of a relaxed structure of Pm3AlGa4, from the Alexandria database.

Computed properties:
* formation energy: -0.40 eV per atom
* symmetry: Immm
* total energy: -0.306 Ry/atom

a = 4.612 Å, b = 6.888 Å, c = 7.636 Å
α = 116.81°, β = 107.58°, γ = 90.00°
Positions (direct):
1 Pm 0.180 0.180 0.359
2 Pm 0.820 0.820 0.641
3 Pm 0.000 0.500 0.000
4 Al 0.500 0.000 0.000
5 Ga 0.385 0.587 0.770
6 Ga 0.615 0.413 0.230
7 Ga 0.615 0.817 0.230
8 Ga 0.385 0.183 0.770

No. 3
The following is a GGA-PBE calculation of a relaxed structure of CaBiS, from the Alexandria database.

Computed properties:
* symmetry: R-3m
* total energy: -0.331 Ry/atom
* ΔE_f (raw): -1.16 eV/atom

a = 4.627 Å, b = 4.627 Å, c = 11.434 Å
α = 78.33°, β = 78.33°, γ = 60.00°
Positions (direct):
1 Ca 0.626 0.626 0.121
2 Ca 0.374 0.374 0.879
3 S 0.289 0.289 0.133
4 S 0.711 0.711 0.867
5 Bi 0.858 0.858 0.427
6 Bi 0.142 0.142 0.573

No. 4
The following is a GGA-PBE calculation of a relaxed structure of CaLa2In9, from the Alexandria database.

Computed properties:
* formation energy: -0.43 eV per atom
* symmetry: P4/mmm
* total energy: -0.255 Ry/atom

a = 4.774 Å, b = 4.774 Å, c = 14.260 Å
α = 90.00°, β = 90.00°, γ = 90.00°
Positions (direct):
1 Ca 0.000 0.000 0.000
2 La 0.000 0.000 0.332
3 La 0.000 0.000 0.668
4 In 0.500 0.500 0.000
5 In 0.500 0.500 0.333
6 In 0.500 0.500 0.667
7 In 0.500 0.000 0.162
8 In 0.500 0.000 0.500
9 In 0.500 0.000 0.838
10 In 0.000 0.500 0.162
11 In 0.000 0.500 0.500
12 In 0.000 0.500 0.838

No. 5
The following is a GGA-PBE calculation of a relaxed structure of Li7Hg2Pd2, from the Alexandria database.

Computed properties:
* formation energy: -0.20 eV per atom
* symmetry: Cmmm
* total energy: -0.177 Ry/atom

a = 5.296 Å, b = 8.079 Å, c = 5.296 Å
α = 90.01°, β = 118.18°, γ = 89.99°
Positions (direct):
1 Li 0.000 0.332 0.500
2 Li 0.500 0.668 0.000
3 Li 0.000 0.668 0.500
4 Li 0.500 0.332 0.000
5 Li 0.000 0.000 0.000
6 Li 0.500 0.757 0.500
7 Li 0.500 0.243 0.500
8 Hg 0.691 0.000 0.309
9 Hg 0.309 0.000 0.691
10 Pd 0.757 0.500 0.757
11 Pd 0.243 0.500 0.243

No. 6
The following is a GGA-PBE calculation of a relaxed structure of La3Zr, from the Alexandria database.

Computed properties:
* formation energy: 0.14 eV per atom
* symmetry: Pm-3m
* total energy: -0.418 Ry/atom

a = 5.051 Å, b = 5.051 Å, c = 5.051 Å
α = 90.00°, β = 90.00°, γ = 90.00°
Positions (direct):
1 La 0.000 0.000 0.000
2 La 0.000 0.500 0.500
3 La 0.500 0.000 0.500
4 Zr 0.500 0.500 0.000

No. 7
The following is a GGA-PBE calculation of a relaxed structure of Y2TmMg6, from the Alexandria database.

Computed properties:
* formation energy: -0.07 eV per atom
* symmetry: C2/m
* total energy: -0.225 Ry/atom

a = 3.305 Å, b = 9.029 Å, c = 9.626 Å
α = 118.00°, β = 110.02°, γ = 90.01°
Positions (direct):
1 Y 0.333 0.667 0.333
2 Y 0.667 0.333 0.667
3 Tm 0.000 0.000 0.000
4 Mg 0.833 0.332 0.332
5 Mg 0.167 0.000 0.668
6 Mg 0.167 0.668 0.668
7 Mg 0.500 0.332 0.000
8 Mg 0.833 0.000 0.332
9 Mg 0.500 0.668 0.000

No. 8
The following is a GGA-PBE calculation of a relaxed structure of Ac2Ni3Hg, from the Alexandria database.

Computed properties:
* formation energy: -0.26 eV per atom
* symmetry: Fmmm
* total energy: -0.336 Ry/atom

a = 6.128 Å, b = 6.128 Å, c = 8.625 Å
α = 109.81°, β = 109.81°, γ = 92.63°
Positions (direct):
1 Ac 0.250 0.750 0.500
2 Ac 0.762 0.762 0.000
3 Ac 0.750 0.250 0.500
4 Ac 0.238 0.238 0.000
5 Ni 0.314 0.845 0.159
6 Ni 0.155 0.686 0.841
7 Ni 0.686 0.155 0.841
8 Ni 0.845 0.314 0.159
9 Ni 0.158 0.158 0.317
10 Ni 0.842 0.842 0.683
11 Hg 0.664 0.664 0.328
12 Hg 0.336 0.336 0.672

Respective total moment values: 4.02, 0.00, 0.00, 0.00, 0.00, 0.00, 0.00, 0.00 μB/cell.